The following is a DFT calculation (PBE) of a geometry-optimized CoHg2Mo2 structure.

Cell: 3.5602 3.5602 14.9221 Å, 90.00 90.00 90.00°
Space group I4/mmm (No. 139)
Symmetry-distinct sites (fractional):
1 Co 0.0000 0.0000 0.0000 [2 per cell]
2 Hg 0.0000 0.0000 0.4067 [4 per cell]
3 Mo 0.0000 0.5000 0.2500 [4 per cell]

**Raw total energy**: -50.4 eV for the cell shown
**DFT formation energy**: 80.41 kJ/mol of atoms
**Offset from the most stable computed form**: 0.000 eV/atom